<1>
## LaPrZr (PBE-GGA)

Data for LaPrZr after structural relaxation.

The calculation puts the total magnetic moment at 0.0 μB per formula unit. Its crystal system is tetragonal. For the volume, the calculation gives 192.6 Å³ per cell.

The structure belongs to space group P4/nmm (No. 129, origin choice 2); the cell edges are 3.871, 3.871 and 12.855 Å and the angles 90.00°, 90.00° and 90.00°. The distinct sites, in fractional coordinates, are La at (0.250, 0.250, 0.100), Pr at (0.250, 0.250, 0.706) and Zr at (0.250, 0.250, 0.451).

<2>
## LaPrZr (PBE-GGA)

Data for LaPrZr after structural relaxation.

The calculation puts the total magnetic moment at 0.0 μB per formula unit. Its crystal system is tetragonal. For the volume, the calculation gives 186.4 Å³ per cell.

The structure belongs to space group I4mm (No. 107); the cell edges are 3.455, 3.455 and 15.614 Å and the angles 90.00°, 90.00° and 90.00°. The distinct sites, in fractional coordinates, are La at (0.000, 0.000, 0.000), Pr at (0.000, 0.000, 0.307) and Zr at (0.000, 0.000, 0.655).

<3>
## LaPrZr (PBE-GGA)

Data for LaPrZr after structural relaxation.

The calculation puts the total magnetic moment at 0.0 μB per formula unit. Its crystal system is trigonal. For the volume, the calculation gives 92.9 Å³ per cell.

The structure belongs to space group P3m1 (No. 156); the cell edges are 3.5074, 3.5074 and 8.7217 Å and the angles 90.00°, 90.00° and 120.00°. The distinct sites, in fractional coordinates, are La at (0.0000, 0.0000, 0.0000), Pr at (0.6667, 0.3333, 0.3774) and Zr at (0.3333, 0.6667, 0.6890).

Result of the stability comparison: <3> is the least stable of them.

<1>
## La5Pt3 (PBE-GGA)

Data for La5Pt3 after structural relaxation.

The calculation puts the total magnetic moment at 0.0 μB per formula unit. Its crystal system is hexagonal. For the volume, the calculation gives 448.1 Å³ per cell.

The structure belongs to space group P6_3/mcm (No. 193); the cell edges are 8.6686, 8.6686 and 6.8859 Å and the angles 90.00°, 90.00° and 120.00°. The distinct sites, in fractional coordinates, are La at (0.0000, 0.2485, 0.2500), La at (0.3333, 0.6667, 0.0000) and Pt at (0.0000, 0.3892, 0.7500).

<2>
## La5Pt3 (PBE-GGA)

Data for La5Pt3 after structural relaxation.

The calculation puts the total magnetic moment at 0.0 μB per formula unit. Its crystal system is tetragonal. For the volume, the calculation gives 879.6 Å³ per cell.

The structure belongs to space group I4/mcm (No. 140); the cell edges are 11.577, 11.577 and 6.564 Å and the angles 90.00°, 90.00° and 90.00°. The distinct sites, in fractional coordinates, are La at (0.000, 0.500, 0.250), La at (0.086, 0.210, 0.000), Pt at (0.000, 0.000, 0.250) and Pt at (0.157, 0.343, 0.500).

Result of the stability comparison: <2> is the least stable of them.

<1>
## La5Pt3 (PBE-GGA)

Data for La5Pt3 after structural relaxation.

The calculation puts the total magnetic moment at 0.0 μB per formula unit. Its crystal system is tetragonal. For the volume, the calculation gives 906.8 Å³ per cell.

The structure belongs to space group P4/ncc (No. 130, origin choice 2); the cell edges are 11.558, 11.558 and 6.788 Å and the angles 90.00°, 90.00° and 90.00°. The distinct sites, in fractional coordinates, are La at (0.043, 0.158, 0.119), La at (0.250, 0.750, 0.000), Pt at (0.096, 0.596, 0.750) and Pt at (0.250, 0.250, 0.379).

<2>
## La5Pt3 (PBE-GGA)

Data for La5Pt3 after structural relaxation.

The calculation puts the total magnetic moment at 0.0 μB per formula unit. Its crystal system is triclinic. For the volume, the calculation gives 456.1 Å³ per cell.

The structure belongs to space group P-1 (No. 2); the cell edges are 6.863, 8.456 and 8.472 Å and the angles 82.61°, 74.66° and 74.56°. The distinct sites, in fractional coordinates, are La at (0.027, 0.198, 0.118), La at (0.092, 0.387, 0.707), La at (0.249, 0.015, 0.485), La at (0.408, 0.795, 0.112), La at (0.471, 0.382, 0.303), Pt at (0.158, 0.693, 0.506), Pt at (0.250, 0.494, 0.006) and Pt at (0.342, 0.994, 0.807).

<3>
## La5Pt3 (PBE-GGA)

Data for La5Pt3 after structural relaxation.

The calculation puts the total magnetic moment at 0.0 μB per formula unit. Its crystal system is orthorhombic. For the volume, the calculation gives 444.7 Å³ per cell.

The structure belongs to space group Cmmm (No. 65); the cell edges are 7.881, 11.725 and 4.813 Å and the angles 90.00°, 90.00° and 90.00°. The distinct sites, in fractional coordinates, are La at (0.000, 0.000, 0.000), La at (0.208, 0.500, 0.500), La at (0.250, 0.250, 0.000), Pt at (0.000, 0.180, 0.500) and Pt at (0.000, 0.500, 0.000).

Result of the stability comparison: <3> is the least stable of them.

<1>
## La3Pt2 (PBE-GGA)

Data for La3Pt2 after structural relaxation.

The calculation puts the total magnetic moment at 0.0 μB per formula unit. Its crystal system is trigonal. For the volume, the calculation gives 1260.3 Å³ per cell.

The structure belongs to space group R-3 (No. 148, hexagonal axes); the cell edges are 9.1511, 9.1511 and 17.3781 Å and the angles 90.00°, 90.00° and 120.00°. The distinct sites, in fractional coordinates, are La at (0.0000, 0.0000, 0.0000), La at (0.0000, 0.0000, 0.1999), La at (0.0140, 0.7535, 0.5917) and Pt at (0.0180, 0.4033, 0.5713).

<2>
## La3Pt2 (PBE-GGA)

Data for La3Pt2 after structural relaxation.

The calculation puts the total magnetic moment at 0.0 μB per formula unit. Its crystal system is orthorhombic. For the volume, the calculation gives 1269.3 Å³ per cell.

The structure belongs to space group Fdd2 (No. 43); the cell edges are 14.434, 17.423 and 5.047 Å and the angles 90.00°, 90.00° and 90.00°. The distinct sites, in fractional coordinates, are La at (0.000, 0.000, 0.000), La at (0.017, 0.328, 0.992) and Pt at (0.091, 0.168, 0.998).

Result of the stability comparison: <2> is the least stable of them.

<1>
## La5Pt4 (PBE-GGA)

Data for La5Pt4 after structural relaxation.

The calculation puts the total magnetic moment at 0.0 μB per formula unit. Its crystal system is tetragonal. For the volume, the calculation gives 450.2 Å³ per cell.

The structure belongs to space group I4/mmm (No. 139); the cell edges are 9.015, 9.015 and 5.539 Å and the angles 90.00°, 90.00° and 90.00°. The distinct sites, in fractional coordinates, are La at (0.000, 0.000, 0.000), La at (0.185, 0.185, 0.500) and Pt at (0.000, 0.343, 0.000).

<2>
## La5Pt4 (PBE-GGA)

Data for La5Pt4 after structural relaxation.

The calculation puts the total magnetic moment at 0.0 μB per formula unit. Its crystal system is hexagonal. For the volume, the calculation gives 481.0 Å³ per cell.

The structure belongs to space group P6_3/mcm (No. 193); the cell edges are 8.8210, 8.8210 and 7.1378 Å and the angles 90.00°, 90.00° and 120.00°. The distinct sites, in fractional coordinates, are La at (0.0000, 0.2641, 0.2500), La at (0.3333, 0.6667, 0.0000), Pt at (0.0000, 0.0000, 0.0000) and Pt at (0.0000, 0.3965, 0.7500).

Result of the stability comparison: <1> is the least stable of them.

<1>
## La3Pt4 (PBE-GGA)

Data for La3Pt4 after structural relaxation.

The calculation puts the total magnetic moment at 0.0 μB per formula unit. Its crystal system is tetragonal. For the volume, the calculation gives 359.1 Å³ per cell.

The structure belongs to space group I4/mmm (No. 139); the cell edges are 4.088, 4.088 and 21.487 Å and the angles 90.00°, 90.00° and 90.00°. The distinct sites, in fractional coordinates, are La at (0.000, 0.000, 0.000), La at (0.000, 0.000, 0.311), Pt at (0.000, 0.000, 0.161) and Pt at (0.000, 0.000, 0.438).

<2>
## La3Pt4 (PBE-GGA)

Data for La3Pt4 after structural relaxation.

The calculation puts the total magnetic moment at 0.0 μB per formula unit. Its crystal system is trigonal. For the volume, the calculation gives 987.5 Å³ per cell.

The structure belongs to space group R-3 (No. 148, hexagonal axes); the cell edges are 13.9434, 13.9434 and 5.8652 Å and the angles 90.00°, 90.00° and 120.00°. The distinct sites, in fractional coordinates, are La at (0.0411, 0.2087, 0.2404), Pt at (0.0000, 0.0000, 0.0000), Pt at (0.0000, 0.0000, 0.5000) and Pt at (0.0558, 0.2758, 0.7221).

Result of the stability comparison: <1> is the least stable of them.